# 1
Computed, not measured: a crystal of AlAg2Os relaxed with PBEsol at the SCAN level of DFT.

Lattice parameters (Å, degrees): 2.8480 4.4682 9.5088 90.00 90.00 90.00
With the nearest neighbours (Å) after each atom.
Space group Immm (No. 71)
Unique sites:
Al  0.0000  0.0000  0.0000 x2  4 Os 2.65, 4 Ag 2.68, 2 Al 2.85
Ag  0.0000  0.5000  0.2614 x4  6 Ag 2.66-2.85, 2 Al 2.68, 2 Os 2.86
Os  0.0000  0.0000  0.5000 x2  4 Al 2.65, 2 Os 2.85, 4 Ag 2.86

- DFT formation energy: 0.18 eV per atom

***

# 2
Computed, not measured: a crystal of Eu2ReO5 relaxed with PBEsol at the SCAN level of DFT.

Lattice parameters (Å, degrees): 8.6175 8.6175 5.8295 90.00 90.00 90.00
With the nearest neighbours (Å) after each atom.
Space group P4/n (No. 85, origin choice 2)
Unique sites:
Eu  0.1036  0.8928  0.2489 x8  6 O 2.28-2.55
Re  0.2500  0.2500  0.1452 x2  4 O 1.89
Re  0.2500  0.2500  0.5488 x2  4 O 1.89
O  0.0530  0.1610  0.0916 x8  1 Re 1.89
O  0.0530  0.3387  0.6086 x8  1 Re 1.89
O  0.2500  0.7500  0.0000 x2  4 Eu 2.28
O  0.2500  0.7500  0.5000 x2  4 Eu 2.29

***

# 3
Computed, not measured: a crystal of TiRhBr3 relaxed with PBEsol at the SCAN level of DFT.

Lattice parameters (Å, degrees): 4.9502 4.9502 4.9502 90.00 90.00 90.00
With the nearest neighbours (Å) after each atom.
Space group Pm-3m (No. 221)
Unique sites:
Ti  0.0000  0.0000  0.0000 x1  12 Br 3.50
Rh  0.5000  0.5000  0.5000 x1  6 Br 2.48
Br  0.0000  0.5000  0.5000 x3  2 Rh 2.48

***

# 4
Computed, not measured: a crystal of RbCaAl2Ge relaxed with PBEsol at the SCAN level of DFT.

Lattice parameters (Å, degrees): 5.0571 5.0571 5.8929 90.00 90.00 90.00
With the nearest neighbours (Å) after each atom.
Space group P4/mmm (No. 123)
Unique sites:
Rb  0.0000  0.0000  0.0000 x1  2 Ge 2.95
Ca  0.5000  0.5000  0.0000 x1  4 Rb 3.58, 8 Al 3.88
Al  0.0000  0.5000  0.5000 x2  2 Ge 2.53
Ge  0.0000  0.0000  0.5000 x1  4 Al 2.53

- DFT formation energy: 0.49 eV per atom

***

# 5
Computed, not measured: a crystal of Mg2ZnPb relaxed with PBEsol at the SCAN level of DFT.

Lattice parameters (Å, degrees): 3.3335 4.4490 6.1512 90.00 105.49 90.00
With the nearest neighbours (Å) after each atom.
Space group Pm (No. 6)
Unique sites:
Mg  0.0000  0.0000  0.0000 x1  1 Zn 2.72
Mg  0.3447  0.5000  0.6914 x1  4 Zn 2.92, 3 Pb 3.16-3.23
Zn  0.7720  0.0000  0.5413 x1  5 Mg 2.72-2.92, 2 Pb 2.91
Pb  0.6121  0.5000  0.2252 x1  2 Zn 2.91, 7 Mg 3.08-3.23

- DFT formation energy: -0.07 eV per atom

***

# 6
Computed, not measured: a crystal of PtSN2F relaxed with PBEsol at the SCAN level of DFT.

Lattice parameters (Å, degrees): 3.7802 3.7802 3.6121 90.00 90.00 90.00
With the nearest neighbours (Å) after each atom.
Space group P4/mmm (No. 123)
Unique sites:
Pt  0.0000  0.0000  0.0000 x1  8 N 2.61, 4 F 2.67
S  0.5000  0.5000  0.5000 x1  2 F 1.81, 4 N 1.89
N  0.0000  0.5000  0.5000 x2  2 S 1.89
F  0.5000  0.5000  0.0000 x1  2 S 1.81

***

It is found that the calculated total energy values, taken in the order of the records, are -35.41 -28.78 -21.63 -12.51 -24.88 -18.79 eV/atom.
It is found that the size of the total moment values, taken in the order of the records, are 0.000 1.498 0.500 0.000 0.000 0.000 μB/atom.